DFT (PBE) results for a relaxed structure of Dy5NpBi6.

```
12
Lattice="3.8848 -6.7284 0.0000 3.8848 6.7284 0.0000 -2.5864 0.0000 7.3262" Properties=species:S:1:pos:R:3 pbc="T T T"
Dy 0.0000 0.0000 0.0000
Dy 2.5916 4.4836 3.6631
Dy 3.8848 2.2367 0.0000
Dy 3.8848 -2.2367 0.0000
Dy 2.5916 -4.4836 3.6631
Np 2.5916 0.0000 3.6631
Bi 1.2915 2.2483 1.8227
Bi -0.0054 0.0000 5.4941
Bi 1.2915 -2.2483 1.8227
Bi 3.8917 2.2483 5.5035
Bi 5.1886 0.0000 1.8321
Bi 3.8917 -2.2483 5.5035
```

Summary:
Formation energy from the elements, eV per atom: -0.691
Symmetry: C2/m (12)

DFT (PBE) results for a relaxed structure of Dy2NpBi3.

```
24
Lattice="0.0000 6.3494 13.4637 4.4953 0.0000 13.4637 4.4953 6.3494 0.0000" Properties=species:S:1:pos:R:3 pbc="T T T"
Dy 1.1238 1.5874 1.1249
Dy 3.3715 4.7621 3.3716
Dy 1.1238 1.5874 5.6070
Dy 5.6191 7.9368 10.1034
Dy 3.3715 4.7621 16.8240
Dy 7.8668 11.1115 21.3205
Dy 5.6191 7.9368 23.5558
Dy 7.8668 11.1115 25.8025
Np 3.3715 4.7621 7.8519
Np 3.3715 4.7621 12.3436
Np 5.6191 7.9368 14.5838
Np 5.6191 7.9368 19.0755
Bi 3.3606 1.5811 7.8581
Bi 5.6337 4.7621 10.0978
Bi 3.3824 1.5811 12.3374
Bi 5.6300 4.7558 14.5900
Bi 7.8813 7.9368 16.8296
Bi 5.6082 4.7558 19.0693
Bi 3.3824 7.9431 7.8581
Bi 1.1093 4.7621 10.0978
Bi 3.3606 7.9431 12.3374
Bi 5.6082 11.1178 14.5900
Bi 3.3570 7.9368 16.8296
Bi 5.6300 11.1178 19.0693
```

Summary:
Formation energy from the elements, eV per atom: -0.527
Symmetry: Fddd (70)

DFT (PBE) results for a relaxed structure of DyNpBiO6.

```
18
Lattice="5.8045 0.0000 0.0000 -2.9023 5.0268 0.0000 0.0000 0.0000 9.5808" Properties=species:S:1:pos:R:3 pbc="T T T"
Dy 0.0000 3.3512 2.3952
Dy 2.9023 1.6756 7.1856
Np 0.0000 3.3512 7.1856
Np 2.9023 1.6756 2.3952
Bi 0.0000 0.0000 0.0000
Bi 0.0000 0.0000 4.7904
O -0.9078 1.8308 6.0896
O -1.7707 3.3253 8.2817
O 0.9078 1.8308 8.2817
O -0.8629 4.8977 6.0896
O 2.0394 0.1292 1.2992
O 1.1316 1.7016 3.4913
O 1.7707 3.3253 6.0896
O 0.8629 4.8977 8.2817
O 3.7651 0.1292 3.4913
O 1.9944 3.1961 1.2992
O 4.6729 1.7016 1.2992
O 3.8101 3.1961 3.4913
```

Summary:
Symmetry: P-31c (163)
Raw formation energy, eV/atom: -2.56

DFT (PBE) results for a relaxed structure of Dy2NpBiO8.

```
12
Lattice="3.5988 -3.6562 0.0000 3.5988 3.6562 0.0000 0.0000 0.0000 7.0724" Properties=species:S:1:pos:R:3 pbc="T T T"
Dy 0.0000 0.0000 1.7211
Dy 0.0000 0.0000 5.3513
Np 3.5988 0.0000 3.5362
Bi 3.5988 0.0000 0.0000
O 1.3392 0.0000 0.0000
O 1.5756 0.0000 3.5362
O 3.5988 1.3645 1.9990
O 3.5988 1.3645 5.0734
O 3.5988 -1.3645 1.9990
O 3.5988 -1.3645 5.0734
O 5.6220 0.0000 3.5362
O 5.8585 0.0000 0.0000
```

Summary:
Symmetry: Cmmm (65)
Raw formation energy, eV/atom: -2.70

DFT (PBE) results for a relaxed structure of Dy5Bi4O.

```
10
Lattice="-4.7784 4.7784 3.1511 4.7784 -4.7784 3.1511 4.7784 4.7784 -3.1511" Properties=species:S:1:pos:R:3 pbc="T T T"
Dy 0.0000 0.0000 0.0000
Dy 3.8336 2.2373 -0.6007
Dy 2.5411 -0.9448 2.5504
Dy 2.2373 5.7232 -0.6007
Dy 0.9448 2.5411 2.5504
Bi 5.5940 -1.8544 2.5410
Bi 3.9628 1.8544 2.5410
Bi -1.8544 3.9628 2.5410
Bi 1.8544 5.5940 2.5410
O 0.0000 0.0000 2.1513
```

Summary:
Symmetry: I4 (79)
Raw formation energy, eV/atom: -1.08

DFT (PBE) results for a relaxed structure of Dy6BiO12.

```
19
Lattice="4.9950 2.8839 3.1377 -4.9950 2.8839 3.1377 0.0000 -5.7678 3.1377" Properties=species:S:1:pos:R:3 pbc="T T T"
Dy -3.4836 -1.0560 4.8843
Dy -0.8273 -3.5449 4.5289
Dy -2.6563 2.4889 4.5289
Dy 2.6563 -2.4889 4.8843
Dy 0.8273 3.5449 4.8843
Dy 3.4836 1.0560 4.5288
Bi 0.0000 0.0000 4.7066
O -4.2434 0.9740 4.0881
O -2.9652 -3.1879 5.3251
O -1.2261 -1.4093 3.6541
O 1.2782 -4.1619 4.0881
O -0.6075 1.7665 3.6541
O -1.8336 0.3572 5.7591
O 1.8336 -0.3572 3.6541
O 0.6075 -1.7665 5.7591
O -1.2782 4.1619 5.3251
O 1.2261 1.4093 5.7591
O 2.9652 3.1879 4.0881
O 4.2434 -0.9740 5.3251
```

Summary:
Symmetry: R-3 (148)
Raw formation energy, eV/atom: -3.01

DFT (PBE) results for a relaxed structure of Dy2BiO.

```
12
Lattice="3.6397 0.0000 0.0000 -1.8198 3.1520 0.0000 0.0000 0.0000 22.5307" Properties=species:S:1:pos:R:3 pbc="T T T"
Dy 0.0000 0.0000 5.0098
Dy 0.0000 0.0000 17.5209
Dy 0.0000 2.1014 10.0106
Dy 0.0000 2.1014 20.0303
Dy 1.8198 1.0507 2.5004
Dy 1.8198 1.0507 12.5201
Bi 0.0000 0.0000 0.0000
Bi 0.0000 2.1014 15.0205
Bi 1.8198 1.0507 7.5102
O 0.0000 0.0000 11.2653
O 0.0000 2.1014 3.7551
O 1.8198 1.0507 18.7756
```

Summary:
Symmetry: R-3m (166)
Energy relative to the lowest polymorph listed for this composition, kcal/mol of atoms: 4.98
Raw formation energy, eV/atom: -1.59

DFT (PBE) results for a relaxed structure of DyBi2O6.

```
9
Lattice="-1.9162 1.9162 8.1589 1.9162 -1.9162 8.1589 1.9162 1.9162 -8.1589" Properties=species:S:1:pos:R:3 pbc="T T T"
Dy 0.0000 0.0000 0.0000
Bi 0.0000 0.0000 5.5123
Bi 0.0000 0.0000 10.8055
O 1.9162 0.0000 1.3917
O 1.9162 0.0000 4.0795
O 1.9162 0.0000 6.7673
O 0.0000 1.9162 1.3917
O 0.0000 1.9162 4.0795
O 0.0000 1.9162 6.7673
```

Summary:
Symmetry: I4/mmm (139)
Raw formation energy, eV/atom: -1.58

DFT (PBE) results for a relaxed structure of DyBiO4.

```
24
Lattice="7.8245 0.0000 0.0000 0.0000 5.4961 0.0000 -0.8563 0.0000 7.7758" Properties=species:S:1:pos:R:3 pbc="T T T"
Dy 0.7088 1.2752 2.9892
Dy 0.2807 1.4728 6.8771
Dy 6.6876 4.0233 0.8987
Dy 6.2595 4.2209 4.7866
Bi 2.5002 4.0006 1.3827
Bi 2.0721 4.2436 5.2706
Bi 4.8962 1.2525 2.5052
Bi 4.4680 1.4956 6.3931
O 0.6938 2.7823 1.2915
O 0.2656 5.4619 5.1794
O 1.1500 0.0312 0.8636
O 0.7219 2.7169 4.7515
O 1.7667 3.2368 7.1747
O 2.1948 5.0074 3.2868
O 2.5487 0.5504 6.3942
O 2.9769 2.1977 2.5063
O 3.9914 3.2984 5.2695
O 4.4195 4.9458 1.3816
O 4.7734 0.4887 4.4890
O 5.2016 2.2593 0.6011
O 6.2464 2.7792 3.0243
O 5.8182 5.4649 6.9122
O 6.7026 0.0343 2.5964
O 6.2745 2.7138 6.4843
```

Summary:
Symmetry: P2_1/c (14)
Raw formation energy, eV/atom: -2.01

DFT (PBE) results for a relaxed structure of Dy2BiO2.

```
10
Lattice="3.8851 0.0000 0.0000 0.0000 3.8851 0.0000 0.0000 0.0000 13.5858" Properties=species:S:1:pos:R:3 pbc="T T T"
Dy 0.0000 0.0000 2.2881
Dy 0.0000 0.0000 11.2976
Dy 1.9425 1.9425 4.5048
Dy 1.9425 1.9425 9.0810
Bi 0.0000 0.0000 6.7929
Bi 1.9425 1.9425 0.0000
O 0.0000 1.9425 3.3964
O 0.0000 1.9425 10.1893
O 1.9425 0.0000 3.3964
O 1.9425 0.0000 10.1893
```

Summary:
Symmetry: I4/mmm (139)
Raw formation energy, eV/atom: -2.70

DFT (PBE) results for a relaxed structure of Dy3BiO7.

```
22
Lattice="3.7937 -5.3683 0.0000 3.7937 5.3683 0.0000 0.0000 0.0000 7.6795" Properties=species:S:1:pos:R:3 pbc="T T T"
Dy 0.0000 0.0000 0.0000
Dy 0.0000 0.0000 3.8397
Dy 2.0204 2.5297 5.7596
Dy 5.5671 2.5297 5.7596
Dy 2.0204 -2.5297 1.9199
Dy 5.5671 -2.5297 1.9199
Bi 3.7937 0.0000 0.0000
Bi 3.7937 0.0000 3.8397
O 3.7937 3.9549 1.9199
O 3.7937 3.8994 5.7596
O 2.1976 1.3622 0.2315
O 2.1976 1.3622 3.6083
O 3.7937 0.9346 5.7596
O 2.1976 -1.3622 4.0712
O 2.1976 -1.3622 7.4480
O 5.3899 1.3622 0.2315
O 5.3899 1.3622 3.6083
O 3.7937 -0.9346 1.9199
O 5.3899 -1.3622 4.0712
O 5.3899 -1.3622 7.4480
O 3.7937 -3.8994 1.9199
O 3.7937 -3.9549 5.7596
```

Summary:
Symmetry: Cmcm (63)
Raw formation energy, eV/atom: -2.74

DFT (PBE) results for a relaxed structure of Dy3BiO3.

```
14
Lattice="3.3302 1.9227 7.5410 -3.3302 1.9227 7.5410 0.0000 -3.8453 7.5410" Properties=species:S:1:pos:R:3 pbc="T T T"
Dy -2.3281 -0.0164 8.9646
Dy -1.1499 -2.0244 13.6584
Dy 1.1783 -2.0080 8.9646
Dy -1.1783 2.0080 13.6584
Dy 1.1499 2.0244 8.9646
Dy 2.3281 0.0164 13.6584
Bi 0.0000 0.0000 3.7706
Bi 0.0000 0.0000 18.8524
O -1.0293 -1.8541 8.4225
O -2.1204 -0.0357 14.2005
O -1.0911 1.8184 8.4225
O 1.0911 -1.8184 14.2006
O 2.1204 0.0357 8.4225
O 1.0293 1.8541 14.2006
```

Summary:
Symmetry: R-3 (148)
Raw formation energy, eV/atom: -2.67